1.
Below is a relaxed AlZn2Pd2 crystal, with properties calculated at the PBE level.

N(E_F) = 0.27 states/eV/atom
energy relative to the lowest polymorph listed for this composition = 44 kJ/mol of formula units
calculated volume = 15.7 Å³ per atom

a = 3.386 Å, b = 3.386 Å, c = 13.655 Å
α = 90.00°, β = 90.00°, γ = 90.00°
Sites, in units of the cell vectors:
Al  0.000  0.000  0.000
Al  0.500  0.500  0.500
Zn  0.000  0.500  0.250
Zn  0.000  0.500  0.750
Zn  0.500  0.000  0.250
Zn  0.500  0.000  0.750
Pd  0.000  0.000  0.402
Pd  0.000  0.000  0.598
Pd  0.500  0.500  0.098
Pd  0.500  0.500  0.902

2.
Below is a relaxed Al2ZnPd8 crystal, with properties calculated at the PBE level.

N(E_F) = 0.63 states/eV/atom
energy relative to the lowest polymorph listed for this composition = 17 kJ/mol of formula units
calculated volume = 15.2 Å³ per atom

a = 7.102 Å, b = 7.102 Å, c = 7.102 Å
α = 146.46°, β = 120.72°, γ = 69.86°
Sites, in units of the cell vectors:
Al  0.197  0.197  0.000
Al  0.803  0.803  0.000
Zn  0.500  0.500  0.000
Pd  0.059  0.340  0.719
Pd  0.190  0.000  0.190
Pd  0.357  0.857  0.500
Pd  0.379  0.660  0.719
Pd  0.621  0.340  0.281
Pd  0.643  0.143  0.500
Pd  0.810  0.000  0.810
Pd  0.941  0.660  0.281

3.
Below is a relaxed Al2Zn2Pd crystal, with properties calculated at the PBE level.

N(E_F) = 0.36 states/eV/atom
energy relative to the lowest polymorph listed for this composition = 0 kJ/mol of formula units
calculated volume = 16.6 Å³ per atom

a = 6.551 Å, b = 6.551 Å, c = 3.870 Å
α = 90.00°, β = 90.00°, γ = 90.00°
Sites, in units of the cell vectors:
Al  0.146  0.354  0.000
Al  0.354  0.854  0.000
Al  0.646  0.146  0.000
Al  0.854  0.646  0.000
Zn  0.155  0.655  0.500
Zn  0.345  0.155  0.500
Zn  0.655  0.845  0.500
Zn  0.845  0.345  0.500
Pd  0.000  0.000  0.000
Pd  0.500  0.500  0.000

4.
Below is a relaxed AlZnPd2 crystal, with properties calculated at the PBE level.

N(E_F) = 0.28 states/eV/atom
calculated volume = 16.5 Å³ per atom

a = 3.930 Å, b = 3.930 Å, c = 14.831 Å
α = 90.00°, β = 90.00°, γ = 120.00°
Sites, in units of the cell vectors:
Al  0.000  0.000  0.000
Al  0.333  0.667  0.667
Al  0.667  0.333  0.333
Zn  0.000  0.000  0.820
Zn  0.333  0.667  0.487
Zn  0.667  0.333  0.154
Pd  0.000  0.000  0.397
Pd  0.000  0.000  0.592
Pd  0.333  0.667  0.063
Pd  0.333  0.667  0.259
Pd  0.667  0.333  0.730
Pd  0.667  0.333  0.926

5.
Below is a relaxed Al2ZnPd8 crystal, with properties calculated at the PBE level.

N(E_F) = 0.43 states/eV/atom
energy relative to the lowest polymorph listed for this composition = 0 kJ/mol of formula units
calculated volume = 15.0 Å³ per atom

a = 7.104 Å, b = 7.104 Å, c = 6.209 Å
α = 108.06°, β = 108.06°, γ = 33.74°
Sites, in units of the cell vectors:
Al  0.216  0.216  0.159
Al  0.784  0.784  0.841
Zn  0.500  0.500  0.500
Pd  0.040  0.040  0.235
Pd  0.157  0.157  0.721
Pd  0.324  0.324  0.568
Pd  0.396  0.396  0.035
Pd  0.604  0.604  0.965
Pd  0.676  0.676  0.432
Pd  0.843  0.843  0.279
Pd  0.960  0.960  0.765

6.
Below is a relaxed Al2ZnPd crystal, with properties calculated at the PBE level.

N(E_F) = 0.24 states/eV/atom
calculated volume = 15.6 Å³ per atom

a = 5.142 Å, b = 2.889 Å, c = 8.495 Å
α = 90.00°, β = 99.34°, γ = 90.00°
Sites, in units of the cell vectors:
Al  0.000  0.000  0.000
Al  0.207  0.000  0.524
Al  0.500  0.500  0.000
Al  0.707  0.500  0.524
Zn  0.251  0.500  0.261
Zn  0.751  0.000  0.261
Pd  0.104  0.500  0.763
Pd  0.604  0.000  0.763

7.
Below is a relaxed Al6ZnPd5 crystal, with properties calculated at the PBE level.

N(E_F) = 0.22 states/eV/atom
calculated volume = 14.6 Å³ per atom

a = 4.384 Å, b = 6.086 Å, c = 6.892 Å
α = 90.00°, β = 107.32°, γ = 90.00°
Sites, in units of the cell vectors:
Al  0.000  0.246  0.000
Al  0.000  0.754  0.000
Al  0.328  0.247  0.659
Al  0.328  0.753  0.659
Al  0.672  0.247  0.341
Al  0.672  0.753  0.341
Zn  0.500  0.500  0.000
Pd  0.160  0.000  0.326
Pd  0.171  0.500  0.329
Pd  0.500  0.000  0.000
Pd  0.829  0.500  0.671
Pd  0.840  0.000  0.674

8.
Below is a relaxed AlZn2Pd2 crystal, with properties calculated at the PBE level.

N(E_F) = 0.24 states/eV/atom
energy relative to the lowest polymorph listed for this composition = 0 kJ/mol of formula units
calculated volume = 15.8 Å³ per atom

a = 6.560 Å, b = 6.560 Å, c = 3.668 Å
α = 90.00°, β = 90.00°, γ = 90.00°
Sites, in units of the cell vectors:
Al  0.000  0.000  0.000
Al  0.500  0.500  0.000
Zn  0.147  0.353  0.500
Zn  0.353  0.853  0.500
Zn  0.647  0.147  0.500
Zn  0.853  0.647  0.500
Pd  0.154  0.654  0.000
Pd  0.346  0.154  0.000
Pd  0.654  0.846  0.000
Pd  0.846  0.346  0.000

9.
Below is a relaxed Al2ZnPd2 crystal, with properties calculated at the PBE level.

N(E_F) = 0.40 states/eV/atom
energy relative to the lowest polymorph listed for this composition = 111 kJ/mol of formula units
calculated volume = 16.7 Å³ per atom

a = 3.705 Å, b = 3.705 Å, c = 12.189 Å
α = 90.00°, β = 90.00°, γ = 90.00°
Sites, in units of the cell vectors:
Al  0.000  0.500  0.250
Al  0.000  0.500  0.750
Al  0.500  0.000  0.250
Al  0.500  0.000  0.750
Zn  0.000  0.000  0.000
Zn  0.500  0.500  0.500
Pd  0.000  0.000  0.390
Pd  0.000  0.000  0.610
Pd  0.500  0.500  0.110
Pd  0.500  0.500  0.890

10.
Below is a relaxed Zr3Al4Pd2 crystal, with properties calculated at the PBE level.

N(E_F) = 0.70 states/eV/atom
calculated volume = 18.0 Å³ per atom

a = 5.417 Å, b = 5.417 Å, c = 8.430 Å
α = 116.62°, β = 116.62°, γ = 48.75°
Sites, in units of the cell vectors:
Zr  0.000  0.000  0.000
Zr  0.344  0.344  0.322
Zr  0.656  0.656  0.678
Al  0.086  0.086  0.412
Al  0.290  0.290  0.951
Al  0.710  0.710  0.049
Al  0.914  0.914  0.588
Pd  0.383  0.383  0.719
Pd  0.617  0.617  0.281

11.
Below is a relaxed ZrAl4Pd7 crystal, with properties calculated at the PBE level.

N(E_F) = 0.40 states/eV/atom
calculated volume = 16.7 Å³ per atom

a = 6.247 Å, b = 6.247 Å, c = 9.053 Å
α = 123.06°, β = 123.06°, γ = 44.80°
Sites, in units of the cell vectors:
Zr  0.000  0.000  0.000
Al  0.290  0.290  0.660
Al  0.420  0.420  0.216
Al  0.580  0.580  0.784
Al  0.710  0.710  0.340
Pd  0.067  0.067  0.345
Pd  0.220  0.220  0.876
Pd  0.344  0.344  0.419
Pd  0.500  0.500  0.000
Pd  0.656  0.656  0.581
Pd  0.780  0.780  0.124
Pd  0.933  0.933  0.655

12.
Below is a relaxed ZrAl2Pd2 crystal, with properties calculated at the PBE level.

N(E_F) = 0.63 states/eV/atom
energy relative to the lowest polymorph listed for this composition = 44 kJ/mol of formula units
calculated volume = 17.5 Å³ per atom

a = 3.831 Å, b = 3.831 Å, c = 11.919 Å
α = 90.00°, β = 90.00°, γ = 90.00°
Sites, in units of the cell vectors:
Zr  0.000  0.000  0.000
Zr  0.500  0.500  0.500
Al  0.000  0.500  0.250
Al  0.000  0.500  0.750
Al  0.500  0.000  0.250
Al  0.500  0.000  0.750
Pd  0.000  0.000  0.390
Pd  0.000  0.000  0.610
Pd  0.500  0.500  0.110
Pd  0.500  0.500  0.890

Number 1: DFT total energy -3.717 eV per atom. Number 2: DFT total energy -5.121 eV per atom. Number 3: DFT total energy -3.148 eV per atom. Number 4: DFT total energy -4.340 eV per atom. Number 5: DFT total energy -5.136 eV per atom. Number 6: DFT total energy -3.842 eV per atom. Number 7: DFT total energy -4.864 eV per atom. Number 8: DFT total energy -3.807 eV per atom. Number 9: DFT total energy -4.249 eV per atom. Number 10: DFT total energy -6.311 eV per atom. Number 11: DFT total energy -5.549 eV per atom. Number 12: DFT total energy -5.903 eV per atom.